No. 1
# GGA-PBE Cr2FeW, optimized geometry
data_Cr2FeW
_cell_length_a 4.126
_cell_length_b 2.558
_cell_length_c 4.926
_cell_angle_alpha 79.94
_cell_angle_beta 90.00
_cell_angle_gamma 90.00
_space_group_name_H-M_alt 'P 1'
_space_group_IT_number 1
loop_
_space_group_symop_operation_xyz
'x,y,z'
loop_
_atom_site_label
_atom_site_type_symbol
_atom_site_fract_x
_atom_site_fract_y
_atom_site_fract_z
Cr1 Cr 0.000 0.007 0.016
Cr2 Cr 0.500 0.240 0.244
Fe1 Fe 0.000 0.497 0.492
W1 W 0.500 0.757 0.748
# **Crystal system**: monoclinic
# **Symmetry**: Pm (6)
# **Offset from the most stable computed form**: 22 meV per atom
# **DOS(E_F)**: 0.932 states/eV per atom
# **Magnetization**: 0.54 μB per atom



No. 2
# GGA-PBE CrFeW2, optimized geometry
data_CrFeW2
_cell_length_a 4.322
_cell_length_b 2.635
_cell_length_c 5.002
_cell_angle_alpha 80.48
_cell_angle_beta 90.00
_cell_angle_gamma 90.00
_space_group_name_H-M_alt 'P 1'
_space_group_IT_number 1
loop_
_space_group_symop_operation_xyz
'x,y,z'
loop_
_atom_site_label
_atom_site_type_symbol
_atom_site_fract_x
_atom_site_fract_y
_atom_site_fract_z
Cr1 Cr 0.000 0.500 0.498
Fe1 Fe 0.500 0.742 0.750
W1 W 0.000 0.003 0.988
W2 W 0.500 0.255 0.263
# **Crystal system**: monoclinic
# **Symmetry**: Pm (6)
# **Offset from the most stable computed form**: 49 meV per atom
# **DOS(E_F)**: 0.816 states/eV per atom
# **Magnetization**: 0.58 μB per atom



No. 3
# GGA-PBE CrFe2W, optimized geometry
data_CrFe2W
_cell_length_a 2.585
_cell_length_b 2.585
_cell_length_c 8.117
_cell_angle_alpha 90.00
_cell_angle_beta 90.00
_cell_angle_gamma 107.93
_space_group_name_H-M_alt 'P 1'
_space_group_IT_number 1
loop_
_space_group_symop_operation_xyz
'x,y,z'
loop_
_atom_site_label
_atom_site_type_symbol
_atom_site_fract_x
_atom_site_fract_y
_atom_site_fract_z
Cr1 Cr 0.500 0.500 0.764
Fe1 Fe 0.000 0.000 0.999
Fe2 Fe 0.500 0.500 0.237
W1 W 0.000 0.000 0.500
# **Crystal system**: orthorhombic
# **Symmetry**: Cmm2 (35)
# **Offset from the most stable computed form**: 16 meV per atom
# **DOS(E_F)**: 0.579 states/eV per atom
# **Magnetization**: 1.05 μB per atom



No. 4
# GGA-PBE Cr2FeW, optimized geometry
data_Cr2FeW
_cell_length_a 2.577
_cell_length_b 2.577
_cell_length_c 8.171
_cell_angle_alpha 90.00
_cell_angle_beta 90.00
_cell_angle_gamma 108.23
_space_group_name_H-M_alt 'P 1'
_space_group_IT_number 1
loop_
_space_group_symop_operation_xyz
'x,y,z'
loop_
_atom_site_label
_atom_site_type_symbol
_atom_site_fract_x
_atom_site_fract_y
_atom_site_fract_z
Cr1 Cr 0.000 0.000 0.014
Cr2 Cr 0.000 0.000 0.486
Fe1 Fe 0.500 0.500 0.250
W1 W 0.500 0.500 0.750
# **Crystal system**: orthorhombic
# **Symmetry**: Cmmm (65)
# **Offset from the most stable computed form**: 23 meV per atom
# **DOS(E_F)**: 0.791 states/eV per atom
# **Magnetization**: 0.51 μB per atom



No. 5
# GGA-PBE Cr2FeW, optimized geometry
data_Cr2FeW
_cell_length_a 4.157
_cell_length_b 4.157
_cell_length_c 4.157
_cell_angle_alpha 60.00
_cell_angle_beta 60.00
_cell_angle_gamma 60.00
_space_group_name_H-M_alt 'P 1'
_space_group_IT_number 1
loop_
_space_group_symop_operation_xyz
'x,y,z'
loop_
_atom_site_label
_atom_site_type_symbol
_atom_site_fract_x
_atom_site_fract_y
_atom_site_fract_z
Cr1 Cr 0.000 0.000 0.000
Cr2 Cr 0.250 0.250 0.250
Fe1 Fe 0.500 0.500 0.500
W1 W 0.750 0.750 0.750
# **Crystal system**: cubic
# **Symmetry**: F-43m (216)
# **Offset from the most stable computed form**: 21 meV per atom
# **DOS(E_F)**: 1.385 states/eV per atom
# **Magnetization**: 0.46 μB per atom



No. 6
# GGA-PBE CrFe2W, optimized geometry
data_CrFe2W
_cell_length_a 4.535
_cell_length_b 4.535
_cell_length_c 4.535
_cell_angle_alpha 132.57
_cell_angle_beta 132.57
_cell_angle_gamma 69.34
_space_group_name_H-M_alt 'P 1'
_space_group_IT_number 1
loop_
_space_group_symop_operation_xyz
'x,y,z'
loop_
_atom_site_label
_atom_site_type_symbol
_atom_site_fract_x
_atom_site_fract_y
_atom_site_fract_z
Cr1 Cr 0.750 0.250 0.500
Fe1 Fe 0.000 0.000 0.000
Fe2 Fe 0.250 0.750 0.500
W1 W 0.500 0.500 0.000
# **Crystal system**: tetragonal
# **Symmetry**: I-4m2 (119)
# **Offset from the most stable computed form**: 94 meV per atom
# **DOS(E_F)**: 1.117 states/eV per atom
# **Magnetization**: 0.18 μB per atom



No. 7
# GGA-PBE CrFeW2, optimized geometry
data_CrFeW2
_cell_length_a 3.112
_cell_length_b 4.335
_cell_length_c 4.161
_cell_angle_alpha 90.00
_cell_angle_beta 90.00
_cell_angle_gamma 90.00
_space_group_name_H-M_alt 'P 1'
_space_group_IT_number 1
loop_
_space_group_symop_operation_xyz
'x,y,z'
loop_
_atom_site_label
_atom_site_type_symbol
_atom_site_fract_x
_atom_site_fract_y
_atom_site_fract_z
Cr1 Cr 0.500 0.000 0.500
Fe1 Fe 0.000 0.500 0.500
W1 W 0.000 0.000 0.000
W2 W 0.500 0.500 0.000
# **Crystal system**: orthorhombic
# **Symmetry**: Pmmm (47)
# **Offset from the most stable computed form**: 56 meV per atom
# **DOS(E_F)**: 0.891 states/eV per atom
# **Magnetization**: 0.56 μB per atom



No. 8
# GGA-PBE CrFe2W, optimized geometry
data_CrFe2W
_cell_length_a 4.843
_cell_length_b 4.843
_cell_length_c 2.567
_cell_angle_alpha 81.02
_cell_angle_beta 81.02
_cell_angle_gamma 117.29
_space_group_name_H-M_alt 'P 1'
_space_group_IT_number 1
loop_
_space_group_symop_operation_xyz
'x,y,z'
loop_
_atom_site_label
_atom_site_type_symbol
_atom_site_fract_x
_atom_site_fract_y
_atom_site_fract_z
Cr1 Cr 0.000 0.500 0.500
Fe1 Fe 0.000 0.000 0.000
Fe2 Fe 0.500 0.500 0.000
W1 W 0.500 0.000 0.500
# **Crystal system**: monoclinic
# **Symmetry**: C2/m (12)
# **Offset from the most stable computed form**: 46 meV per atom
# **DOS(E_F)**: 0.938 states/eV per atom
# **Magnetization**: 1.02 μB per atom



No. 9
# GGA-PBE CrFe2W, optimized geometry
data_CrFe2W
_cell_length_a 4.811
_cell_length_b 4.811
_cell_length_c 4.811
_cell_angle_alpha 143.70
_cell_angle_beta 128.74
_cell_angle_gamma 64.43
_space_group_name_H-M_alt 'P 1'
_space_group_IT_number 1
loop_
_space_group_symop_operation_xyz
'x,y,z'
loop_
_atom_site_label
_atom_site_type_symbol
_atom_site_fract_x
_atom_site_fract_y
_atom_site_fract_z
Cr1 Cr 0.248 0.748 0.500
Fe1 Fe 0.000 0.000 0.000
Fe2 Fe 0.754 0.254 0.500
W1 W 0.498 0.498 0.000
# **Crystal system**: orthorhombic
# **Symmetry**: Imm2 (44)
# **Offset from the most stable computed form**: 64 meV per atom
# **DOS(E_F)**: 1.278 states/eV per atom
# **Magnetization**: 1.05 μB per atom



No. 10
# GGA-PBE CrFe4W, optimized geometry
data_CrFe4W
_cell_length_a 4.664
_cell_length_b 4.664
_cell_length_c 4.664
_cell_angle_alpha 60.00
_cell_angle_beta 60.00
_cell_angle_gamma 60.00
_space_group_name_H-M_alt 'P 1'
_space_group_IT_number 1
loop_
_space_group_symop_operation_xyz
'x,y,z'
loop_
_atom_site_label
_atom_site_type_symbol
_atom_site_fract_x
_atom_site_fract_y
_atom_site_fract_z
Cr1 Cr 0.000 0.000 0.000
Fe1 Fe 0.124 0.625 0.625
Fe2 Fe 0.625 0.625 0.625
Fe3 Fe 0.625 0.124 0.625
Fe4 Fe 0.625 0.625 0.124
W1 W 0.250 0.250 0.250
# **Crystal system**: cubic
# **Symmetry**: F-43m (216)
# **Total DFT energy (no corrections)**: -55.92 eV for the cell shown
# **DOS(E_F)**: 1.379 states/eV per atom
# **Magnetization**: 0.48 μB per atom



No. 11
# GGA-PBE CrFe2W, optimized geometry
data_CrFe2W
_cell_length_a 4.146
_cell_length_b 4.146
_cell_length_c 4.146
_cell_angle_alpha 60.00
_cell_angle_beta 60.00
_cell_angle_gamma 60.00
_space_group_name_H-M_alt 'P 1'
_space_group_IT_number 1
loop_
_space_group_symop_operation_xyz
'x,y,z'
loop_
_atom_site_label
_atom_site_type_symbol
_atom_site_fract_x
_atom_site_fract_y
_atom_site_fract_z
Cr1 Cr 0.500 0.500 0.500
Fe1 Fe 0.000 0.000 0.000
Fe2 Fe 0.250 0.250 0.250
W1 W 0.750 0.750 0.750
# **Crystal system**: cubic
# **Symmetry**: F-43m (216)
# **Offset from the most stable computed form**: 23 meV per atom
# **DOS(E_F)**: 0.968 states/eV per atom
# **Magnetization**: 1.01 μB per atom



No. 12
# GGA-PBE Cr2FeW, optimized geometry
data_Cr2FeW
_cell_length_a 4.845
_cell_length_b 4.845
_cell_length_c 4.845
_cell_angle_alpha 144.10
_cell_angle_beta 129.35
_cell_angle_gamma 63.63
_space_group_name_H-M_alt 'P 1'
_space_group_IT_number 1
loop_
_space_group_symop_operation_xyz
'x,y,z'
loop_
_atom_site_label
_atom_site_type_symbol
_atom_site_fract_x
_atom_site_fract_y
_atom_site_fract_z
Cr1 Cr 0.001 0.001 0.000
Cr2 Cr 0.499 0.499 0.000
Fe1 Fe 0.750 0.250 0.500
W1 W 0.250 0.750 0.500
# **Crystal system**: orthorhombic
# **Symmetry**: Immm (71)
# **Offset from the most stable computed form**: 30 meV per atom
# **DOS(E_F)**: 0.925 states/eV per atom
# **Magnetization**: 0.44 μB per atom